# 1
Density functional theory data (GGA-PBEsol) for a relaxed structure of NpS.

```
NpS
1.0
5.385 0.000 0.000
0.000 5.385 0.000
0.000 0.000 5.385
Np S
4 4
direct
0.000 0.000 0.000
0.000 0.500 0.500
0.500 0.000 0.500
0.500 0.500 0.000
0.000 0.000 0.500
0.000 0.500 0.000
0.500 0.000 0.000
0.500 0.500 0.500
```

Computed properties:
D(E_F) = 25.73 states/eV per cell
Crystal system = cubic
Total moment = 3.72 μB/f.u.
Formation energy without anion corrections = -1.234 eV/atom



# 2
Density functional theory data (GGA-PBEsol) for a relaxed structure of Np3Se5.

```
Np3Se5
1.0
11.709 0.000 0.000
0.000 8.127 0.000
0.000 0.000 7.516
Np Se
12 20
direct
0.010 0.250 0.083
0.180 0.002 0.523
0.180 0.498 0.523
0.320 0.502 0.023
0.320 0.998 0.023
0.490 0.750 0.583
0.510 0.250 0.417
0.680 0.002 0.977
0.680 0.498 0.977
0.820 0.502 0.477
0.820 0.998 0.477
0.990 0.750 0.917
0.001 0.750 0.533
0.094 0.552 0.172
0.094 0.948 0.172
0.188 0.250 0.828
0.222 0.750 0.796
0.278 0.250 0.296
0.312 0.750 0.328
0.406 0.052 0.672
0.406 0.448 0.672
0.499 0.250 0.033
0.501 0.750 0.967
0.594 0.552 0.328
0.594 0.948 0.328
0.688 0.250 0.672
0.722 0.750 0.704
0.778 0.250 0.204
0.812 0.750 0.172
0.906 0.052 0.828
0.906 0.448 0.828
0.999 0.250 0.467
```

Computed properties:
D(E_F) = 98.17 states/eV per cell
Crystal system = orthorhombic
Total moment = 11.00 μB/f.u.
Formation energy without anion corrections = -1.012 eV/atom



# 3
Density functional theory data (GGA-PBEsol) for a relaxed structure of NpSi3.

```
NpSi3
1.0
3.926 0.000 0.000
0.000 3.926 0.000
0.000 0.000 3.926
Np Si
1 3
direct
0.000 0.000 0.000
0.000 0.500 0.500
0.500 0.000 0.500
0.500 0.500 0.000
```

Computed properties:
D(E_F) = 3.78 states/eV per cell
Crystal system = cubic
Total moment = 0.00 μB/f.u.
Formation energy without anion corrections = -0.298 eV/atom